(1)
First-principles (GGA-PBE) data for an optimized crystal structure of Ca2TlCdN, as listed in Alexandria via LeMat-Bulk.

POSCAR file:
```
Ca2TlCdN
1.0
4.890 0.000 0.000
0.000 4.890 0.000
0.000 0.000 4.758
Tl N Ca Cd
1 1 2 1
Cartesian
2.445 2.445 2.379 Tl
0.000 0.000 0.000 N
0.000 2.445 0.000 Ca
2.445 0.000 0.000 Ca
0.000 0.000 2.379 Cd
```

Properties
Uncorrected formation energy, eV/atom: -0.3676
Magnetic moment, μB per formula unit: 0.2
Calculated volume, Å³/atom: 22.8



(2)
First-principles (GGA-PBE) data for an optimized crystal structure of Ca2UCdN4, as listed in Alexandria via LeMat-Bulk.

POSCAR file:
```
Ca2UCdN4
1.0
-0.213 2.168 -2.862
-0.094 -4.563 -3.450
-5.659 1.176 1.312
Ca U Cd N
2 1 1 4
Cartesian
-2.936 1.672 -0.775 Ca
-2.876 -1.693 -1.069 Ca
-0.153 -1.198 -3.156 U
0.000 0.000 0.000 Cd
-1.457 0.002 -2.150 N
-4.508 -1.221 -2.850 N
-4.434 -0.330 0.080 N
-1.319 -3.057 -2.218 N
```

Properties
Uncorrected formation energy, eV/atom: -0.9127
Magnetic moment, μB per formula unit: 0.0
Calculated volume, Å³/atom: 14.7